The following is a DFT calculation (PBE) of a relaxed structure of La2NdHo2Er2.

Structure (extended XYZ):
```
7
Lattice="-1.5737 -4.8071 0.6062 1.5572 2.8610 5.3242 -7.7039 2.4822 -0.3155" Properties=species:S:1:pos:R:3 pbc="T T T"
La -3.0734 1.1911 1.4669
La -4.6470 -0.6550 4.1480
Nd 0.0000 0.0000 0.0000
Ho -6.2154 -0.5544 0.8742
Ho -1.5051 1.0905 4.7407
Er -1.5198 -1.8625 2.6912
Er -6.2006 2.3986 2.9237
```

Output
Electronic total energy   -32.681 eV/cell
Formation energy   0.032 eV/atom